Entry 1:
VASP calculation (PBE) on a relaxed structure of Ca2ScRu.

## Properties
The value obtained for the calculated volume is 23.5 A^3/atom. Its space group is I4/mmm, No. 139. The energy relative to the lowest polymorph listed for this composition is 393.5 meV per atom. The total energy comes out at -4.617 eV per atom. As for the density of states at the Fermi level: 3.05 states/eV per cell.

Lattice parameters (Å, degrees): 5.899 5.899 5.899 137.11 137.11 62.27
Element x y z (fractional)
Ca1 0.250 0.750 0.500
Ca2 0.750 0.250 0.500
Sc1 0.000 0.000 0.000
Ru1 0.500 0.500 0.000

---

Entry 2:
VASP calculation (PBE) on a relaxed structure of CaScRu2.

## Properties
The value obtained for the calculated volume is 18.4 A^3/atom. Its space group is Imm2, No. 44. The total energy comes out at -6.722 eV per atom. As for the density of states at the Fermi level: 4.35 states/eV per cell.

Lattice parameters (Å, degrees): 5.715 5.715 5.715 147.73 132.01 59.02
Element x y z (fractional)
Ca1 0.000 0.000 0.000
Sc1 0.721 0.221 0.500
Ru1 0.261 0.761 0.500
Ru2 0.474 0.474 0.000

---

Entry 3:
VASP calculation (PBE) on a relaxed structure of CaScRu.

## Properties
The value obtained for the calculated volume is 24.4 A^3/atom. Its space group is C2/m, No. 12. The energy relative to the lowest polymorph listed for this composition is 239.5 meV per atom. The total energy comes out at -5.877 eV per atom. As for the density of states at the Fermi level: 5.42 states/eV per cell.

Lattice parameters (Å, degrees): 4.572 4.572 8.511 105.50 105.50 59.84
Element x y z (fractional)
Ca1 0.120 0.120 0.362
Ca2 0.880 0.880 0.638
Sc1 0.368 0.368 0.106
Sc2 0.632 0.632 0.894
Ru1 0.263 0.263 0.787
Ru2 0.737 0.737 0.213

---

Entry 4:
VASP calculation (PBE) on a relaxed structure of CaScRu.

## Properties
The value obtained for the calculated volume is 23.2 A^3/atom. Its space group is Cmcm, No. 63. The energy relative to the lowest polymorph listed for this composition is 87.3 meV per atom. The total energy comes out at -6.029 eV per atom. As for the density of states at the Fermi level: 4.54 states/eV per cell.

Lattice parameters (Å, degrees): 5.883 5.883 6.300 90.00 90.00 140.35
Element x y z (fractional)
Ca1 0.217 0.783 0.750
Ca2 0.783 0.217 0.250
Sc1 0.500 0.500 0.000
Sc2 0.500 0.500 0.500
Ru1 0.066 0.934 0.250
Ru2 0.934 0.066 0.750

---

Entry 5:
VASP calculation (PBE) on a relaxed structure of CaSc2Ru2.

## Properties
The value obtained for the calculated volume is 19.5 A^3/atom. Its space group is P4/mbm, No. 127. The energy relative to the lowest polymorph listed for this composition is 0.0 meV per atom. The total energy comes out at -6.906 eV per atom. As for the density of states at the Fermi level: 5.19 states/eV per cell.

Lattice parameters (Å, degrees): 7.767 7.767 3.238 90.00 90.00 90.00
Element x y z (fractional)
Ca1 0.000 0.000 0.000
Ca2 0.500 0.500 0.000
Sc1 0.142 0.358 0.500
Sc2 0.358 0.858 0.500
Sc3 0.642 0.142 0.500
Sc4 0.858 0.642 0.500
Ru1 0.150 0.650 0.000
Ru2 0.350 0.150 0.000
Ru3 0.650 0.850 0.000
Ru4 0.850 0.350 0.000

---

Entry 6:
VASP calculation (PBE) on a relaxed structure of CaScRu2.

## Properties
The value obtained for the calculated volume is 17.9 A^3/atom. Its space group is Pmmm, No. 47. The total energy comes out at -6.522 eV per atom. As for the density of states at the Fermi level: 3.08 states/eV per cell.

Lattice parameters (Å, degrees): 3.299 4.333 5.001 90.00 90.00 90.00
Element x y z (fractional)
Ca1 0.000 0.000 0.000
Sc1 0.500 0.000 0.500
Ru1 0.000 0.500 0.500
Ru2 0.500 0.500 0.000

---

Asked for formation energy from the elements across the records above, the calculation gives 0.286 -0.001 -0.007 -0.159 -0.262 0.199 eV per atom in order.
Asked for mass density across the records above, the calculation gives 4.0 6.5 4.2 4.4 5.6 6.7 Mg/m³ in order.